A geometry-optimized Ba2Sn4Pb5 structure, computed with GGA-PBE.

Values from the calculation:
- DFT total energy: -3.71 eV/atom
- V: 759.84 Å³/cell
- Formation energy: -2.43 eV/f.u.

abc: 13.8053 6.8284 9.9082
angles: 90.00 125.56 90.00
Space group C2/m (No. 12)
Asymmetric unit:
Ba (0.2100, 0.0000, 0.2589)
Sn (0.2087, 0.0000, 0.6178)
Sn (0.2486, 0.0000, 0.9439)
Pb (0.0000, 0.5000, 0.0000)
Pb (0.0118, 0.2571, 0.6907)